Entry 1:
{"formula": "PmSmV2O8", "functional": "PBE+U", "state": "optimized geometry", "lattice_angstrom": [[-3.6856, 3.6856, 3.2278], [3.6856, -3.6856, 3.2278], [3.6856, 3.6856, -3.2278]], "species": ["Pm", "Sm", "V", "V", "O", "O", "O", "O", "O", "O", "O", "O"], "frac_coords": [[0.0000, 0.0000, 0.0000], [0.7500, 0.2500, 0.5000], [0.2500, 0.7500, 0.5000], [0.5000, 0.5000, 0.0000], [0.0768, 0.3958, 0.3190], [0.0768, 0.7579, 0.6810], [0.1459, 0.3278, 0.8181], [0.2421, 0.9232, 0.3190], [0.5097, 0.3278, 0.1819], [0.6042, 0.9232, 0.6810], [0.6722, 0.4903, 0.8181], [0.6722, 0.8541, 0.1819]], "dos_at_fermi_per_ev_atom": 0.000, "final_energy_ev_per_atom": -8.0579}

***

Entry 2:
{"formula": "PmSmWO6", "functional": "PBE+U", "state": "optimized geometry", "lattice_angstrom": [[5.6714, 0.0000, 0.0000], [-2.8357, 4.9116, 0.0000], [0.0000, 0.0000, 9.6350]], "species": ["Pm", "Pm", "Sm", "Sm", "W", "W", "O", "O", "O", "O", "O", "O", "O", "O", "O", "O", "O", "O"], "frac_coords": [[0.0000, 0.0000, 0.0000], [0.0000, 0.0000, 0.5000], [0.3333, 0.6667, 0.2500], [0.6667, 0.3333, 0.7500], [0.3333, 0.6667, 0.7500], [0.6667, 0.3333, 0.2500], [0.0491, 0.3762, 0.6366], [0.0491, 0.6729, 0.8634], [0.3271, 0.3762, 0.8634], [0.3271, 0.9509, 0.6366], [0.3762, 0.0491, 0.1366], [0.3762, 0.3271, 0.3634], [0.6238, 0.6729, 0.6366], [0.6238, 0.9509, 0.8634], [0.6729, 0.0491, 0.3634], [0.6729, 0.6238, 0.1366], [0.9509, 0.3271, 0.1366], [0.9509, 0.6238, 0.3634]], "dos_at_fermi_per_ev_atom": 0.000, "final_energy_ev_per_atom": -7.9978}